[1]
CsBaTlO2 | Alexandria via LeMat-Bulk | PBE-GGA | relaxed; total magnetization = 0.0 μB per formula unit; crystal system = monoclinic
1.0
7.303 0.000 0.000
0.000 7.501 2.104
0.000 0.035 7.488
O Cs Ba Tl
4 2 2 2
Cartesian
2.229 1.167 7.409 O
2.229 6.387 5.927 O
5.073 1.149 3.665 O
5.073 6.369 2.183 O
1.426 3.777 6.668 Cs
5.876 3.759 2.924 Cs
3.573 0.009 1.872 Ba
3.729 0.026 5.616 Ba
0.000 0.017 3.744 Tl
0.000 0.000 0.000 Tl

[2]
LiTlPd2O | Alexandria via LeMat-Bulk | PBE-GGA | relaxed; total magnetization = 0.0 μB per formula unit; crystal system = tetragonal
1.0
-2.284 3.432 -0.845
-4.065 -2.237 1.906
0.927 1.553 3.800
Pd Tl Li O
2 1 1 1
Cartesian
-1.142 1.716 -0.422 Pd
0.464 0.776 1.900 Pd
-2.033 -1.119 0.953 Tl
-2.711 1.374 2.431 Li
0.000 0.000 0.000 O

[3]
TcAs2Pt | Alexandria via LeMat-Bulk | PBE-GGA | relaxed; polymorph energy (0 for the lowest one) = 0.172 eV/f.u.; total magnetization = 0.0 μB per formula unit; calculated formation energy = -0.0614 eV per atom; crystal system = monoclinic
1.0
4.810 0.011 -0.015
3.682 3.094 -0.015
1.045 0.382 4.316
Pt As Tc
1 2 1
Cartesian
4.767 1.743 2.427 Pt
7.078 2.588 2.847 As
8.498 3.107 0.310 As
2.454 0.897 0.818 Tc

[4]
AlV2WS | Alexandria via LeMat-Bulk | PBE-GGA | relaxed; total magnetization = 0.0 μB per formula unit; crystal system = tetragonal
1.0
4.586 0.000 0.000
0.000 4.131 0.000
0.000 0.000 4.586
Al W S V
1 1 1 2
Cartesian
0.000 0.000 0.000 Al
2.293 2.066 2.293 W
0.000 2.066 0.000 S
2.293 0.000 0.000 V
0.000 0.000 2.293 V

[5]
LaEr2 | Alexandria via LeMat-Bulk | PBE-GGA | relaxed; polymorph energy (0 for the lowest one) = 0.739 eV/f.u.; total magnetization = 2.6 μB per formula unit; calculated formation energy = 0.2707 eV per atom; crystal system = cubic
1.0
6.705 0.000 0.000
3.353 5.807 0.000
3.353 1.936 5.475
La Er
2 4
Cartesian
0.000 0.000 0.000 La
3.353 1.936 1.369 La
6.705 1.936 3.422 Er
8.382 4.839 3.422 Er
6.705 3.871 0.684 Er
5.029 4.839 3.422 Er

[6]
YMnNi2 | Alexandria via LeMat-Bulk | PBE-GGA | relaxed; polymorph energy (0 for the lowest one) = 1.215 eV/f.u.; total magnetization = 3.4 μB per formula unit; calculated formation energy = 0.0731 eV per atom; crystal system = cubic
1.0
-0.610 0.081 4.381
3.205 -1.405 2.706
2.224 2.903 2.489
Mn Ni Y
1 2 1
Cartesian
2.409 0.789 4.788 Mn
0.000 0.000 0.000 Ni
1.205 0.395 2.394 Ni
3.614 1.184 7.182 Y

[7]
Cs2CdBSe4 | Alexandria via LeMat-Bulk | PBE-GGA | relaxed; total magnetization = 0.0 μB per formula unit; crystal system = orthorhombic
1.0
-4.672 -3.660 2.687
1.988 -7.530 1.098
1.815 0.851 12.213
Cs Se B Cd
4 8 2 2
Cartesian
0.329 -0.109 8.321 Cs
-0.117 -5.125 12.562 Cs
-3.089 -7.044 4.779 Cs
-3.186 -2.700 6.578 Cs
0.665 -1.512 11.906 Se
-1.912 -7.904 10.566 Se
-2.076 -3.204 2.912 Se
0.473 -2.881 5.759 Se
0.152 -6.172 6.693 Se
-0.453 -3.722 8.977 Se
-0.561 -8.519 14.102 Se
0.232 -7.443 3.076 Se
-2.336 -1.830 1.343 B
0.733 -4.255 7.327 B
-1.603 -6.084 8.671 Cd
0.000 0.000 0.000 Cd

[8]
RbTaTc2Pb | Alexandria via LeMat-Bulk | PBE-GGA | relaxed; total magnetization = 3.3 μB per formula unit; calculated formation energy = 2.2936 eV per atom; crystal system = tetragonal
1.0
-3.325 2.299 3.556
1.954 -3.199 3.895
3.761 3.681 1.137
Rb Tc Pb Ta
1 2 1 1
Cartesian
1.195 1.390 4.294 Rb
-1.663 1.150 1.778 Tc
1.881 1.841 0.568 Tc
0.000 0.000 0.000 Pb
0.977 -1.600 1.948 Ta

| no. | uncorrected energy (eV/atom) |
| --- | --- |
| 1 | -4.25 |
| 2 | -4.12 |
| 3 | -6.49 |
| 4 | -6.15 |
| 5 | -4.41 |
| 6 | -6.73 |
| 7 | -3.51 |
| 8 | -5.16 |